# SmDy5Au6, relaxed, DFT PBE
data_SmDy5Au6
_symmetry_space_group_name_H-M 'I m m m'
_symmetry_Int_Tables_number 71
_symmetry_space_group_name_Hall '-I 2 2'
_cell_length_a 5.128
_cell_length_b 7.151
_cell_length_c 15.439
_cell_angle_alpha 90.00
_cell_angle_beta 90.00
_cell_angle_gamma 90.00
loop_
_atom_site_label
_atom_site_type_symbol
_atom_site_fract_x
_atom_site_fract_y
_atom_site_fract_z
Sm1 Sm 0.000 0.000 0.000
Dy1 Dy 0.000 0.000 0.333
Dy2 Dy 0.000 0.500 0.000
Dy3 Dy 0.000 0.500 0.334
Au1 Au 0.000 0.241 0.500
Au2 Au 0.000 0.254 0.170
# Density of states at the Fermi level = 0.53 states/eV per atom
# Energy relative to the elements = -0.850 eV per atom
# Total energy = -4.80 eV/atom